[1]
Material: LiReAg3Se4
Method: DFT, PBE-GGA
State: relaxed

Summary:
Total energy: -37.01 eV/f.u.
Space group: P-43m (215)

Cell: 6.183 6.183 6.183 Å, 90.00 90.00 90.00°
Fractional positions:
Li1 0.000 0.000 0.000
Re1 0.500 0.500 0.500
Ag1 0.000 0.500 0.500
Ag2 0.500 0.000 0.500
Ag3 0.500 0.500 0.000
Se1 0.265 0.265 0.265
Se2 0.265 0.735 0.735
Se3 0.735 0.265 0.735
Se4 0.735 0.735 0.265


[2]
Material: LaTmO3
Method: DFT, PBE-GGA
State: relaxed

Summary:
Total energy: -41.76 eV/f.u.
Space group: R-3 (148)

Cell: 6.155 6.155 6.155 Å, 57.28 57.28 57.28°
Fractional positions:
La1 0.132 0.132 0.132
La2 0.868 0.868 0.868
Tm1 0.353 0.353 0.353
Tm2 0.647 0.647 0.647
O1 0.049 0.722 0.469
O2 0.278 0.531 0.951
O3 0.469 0.049 0.722
O4 0.531 0.951 0.278
O5 0.722 0.469 0.049
O6 0.951 0.278 0.531


[3]
Material: RbAlCuS3
Method: DFT, PBE-GGA
State: relaxed

Summary:
Total energy: -25.42 eV/f.u.
Energy relative to the lowest polymorph listed for this composition: 0.036 eV per atom
Space group: Cmcm (63)

Cell: 7.683 7.683 9.917 Å, 90.00 90.00 153.54°
Fractional positions:
Rb1 0.249 0.751 0.750
Rb2 0.751 0.249 0.250
Al1 0.500 0.500 0.000
Al2 0.500 0.500 0.500
Cu1 0.035 0.965 0.250
Cu2 0.965 0.035 0.750
S1 0.107 0.893 0.046
S2 0.107 0.893 0.454
S3 0.441 0.559 0.250
S4 0.559 0.441 0.750
S5 0.893 0.107 0.546
S6 0.893 0.107 0.954


[4]
Material: Tm2LuBi3
Method: DFT, PBE-GGA
State: relaxed

Summary:
Total energy: -30.31 eV/f.u.
Space group: P-3m1 (164)

Cell: 4.414 4.414 10.836 Å, 90.00 90.00 120.00°
Fractional positions:
Tm1 0.333 0.667 0.333
Tm2 0.667 0.333 0.667
Lu1 0.000 0.000 0.000
Bi1 0.000 0.000 0.500
Bi2 0.333 0.667 0.834
Bi3 0.667 0.333 0.166